Material: LaSm2CdHg4
Method: DFT, PBE
State: optimized geometry

a = 5.1959 Å, b = 5.1959 Å, c = 27.7646 Å
α = 90.00°, β = 90.00°, γ = 120.00°
Space group R-3m (No. 166, hexagonal axes)
One atom of each set of equivalent atoms:
La (0.0000, 0.0000, 0.0000) (multiplicity 3)
Sm (0.0000, 0.0000, 0.2385) (multiplicity 6)
Cd (0.0000, 0.0000, 0.5000) (multiplicity 3)
Hg (0.0000, 0.0000, 0.1240) (multiplicity 6)
Hg (0.0000, 0.0000, 0.3781) (multiplicity 6)

formation energy = -425 meV/atom
E_tot = -59.7 eV/cell
size of the total moment = 0.00 μB per cell